# 1
# YThOs PBE relaxed
# * crystal system: monoclinic
# * symmetry: P2_1/m
# * magnetic moment: 0.000 μB/f.u.
# * E_form: -168.4 meV per atom
# * excess energy over the best structure of this formula in the dataset: 0.113 eV/f.u.
# * calculated total energy: -0.3138 hartree per atom
# * V: 169.46 Å³/cell
data_YThOs
_chemical_formula_sum 'Y2 Th2 Os2'
_cell_length_a 4.481
_cell_length_b 5.886
_cell_length_c 6.737
_cell_angle_alpha 107.48
_cell_angle_beta 90.00
_cell_angle_gamma 90.00
_space_group_name_H-M_alt 'P 1'
_space_group_IT_number 1
_space_group_name_Hall 'P 1'
loop_
_atom_site_label
_atom_site_type_symbol
_atom_site_fract_x
_atom_site_fract_y
_atom_site_fract_z
Os1 Os 0.752 0.149 0.444
Os2 Os 0.252 0.858 0.559
Y1 Y 0.752 0.570 0.308
Y2 Y 0.252 0.437 0.696
Th1 Th 0.252 0.014 0.199
Th2 Th 0.752 0.994 0.804

=====

# 2
# FeSbPdPb2 PBE relaxed
# * ΔE_f (raw): 0.393 eV per atom
# * crystal system: tetragonal
# * symmetry: P4/mmm
# * magnetic moment: 1.160 μB/f.u.
# * calculated total energy: -0.1707 hartree per atom
# * V: 124.60 Å³/cell
data_FeSbPdPb2
_chemical_formula_sum 'Fe1 Sb1 Pd1 Pb2'
_cell_length_a 5.066
_cell_length_b 4.855
_cell_length_c 5.066
_cell_angle_alpha 90.00
_cell_angle_beta 90.00
_cell_angle_gamma 90.00
_space_group_name_H-M_alt 'P 1'
_space_group_IT_number 1
_space_group_name_Hall 'P 1'
loop_
_atom_site_label
_atom_site_type_symbol
_atom_site_fract_x
_atom_site_fract_y
_atom_site_fract_z
Sb1 Sb 0.000 0.500 0.000
Fe1 Fe 0.000 0.000 0.000
Pb1 Pb 0.500 0.000 0.000
Pb2 Pb 0.000 0.000 0.500
Pd1 Pd 0.500 0.500 0.500

=====

# 3
# K2RbMnBr6 PBE relaxed
# * ΔE_f (raw): -1.295 eV per atom
# * crystal system: monoclinic
# * symmetry: P2_1/c
# * magnetic moment: 4.000 μB/f.u.
# * calculated total energy: -0.1298 hartree per atom
# * V: 722.94 Å³/cell
data_K2RbMnBr6
_chemical_formula_sum 'K4 Rb2 Mn2 Br12'
_cell_length_a 7.724
_cell_length_b 8.519
_cell_length_c 11.010
_cell_angle_alpha 90.00
_cell_angle_beta 86.34
_cell_angle_gamma 90.00
_space_group_name_H-M_alt 'P 1'
_space_group_IT_number 1
_space_group_name_Hall 'P 1'
loop_
_atom_site_label
_atom_site_type_symbol
_atom_site_fract_x
_atom_site_fract_y
_atom_site_fract_z
Br1 Br 0.162 0.231 0.095
Br2 Br 0.338 0.731 0.405
Br3 Br 0.373 0.931 0.705
Br4 Br 0.262 0.658 0.036
Br5 Br 0.662 0.269 0.595
Br6 Br 0.627 0.069 0.295
Br7 Br 0.738 0.342 0.964
Br8 Br 0.762 0.842 0.536
Br9 Br 0.127 0.431 0.795
Br10 Br 0.873 0.569 0.205
Br11 Br 0.838 0.769 0.905
Br12 Br 0.238 0.158 0.464
Rb1 Rb 0.000 0.500 0.500
Rb2 Rb 0.500 0.000 0.000
Mn1 Mn 0.000 0.500 0.000
Mn2 Mn 0.500 0.000 0.500
K1 K 0.536 0.573 0.762
K2 K 0.464 0.427 0.238
K3 K 0.036 0.927 0.262
K4 K 0.964 0.073 0.738

=====

# 4
# K2Np2NiSe6 PBE relaxed
# * ΔE_f (raw): -0.941 eV per atom
# * crystal system: monoclinic
# * symmetry: C2/m
# * magnetic moment: 7.918 μB/f.u.
# * calculated total energy: -0.2176 hartree per atom
# * V: 327.90 Å³/cell
data_K2Np2NiSe6
_chemical_formula_sum 'K2 Np2 Ni1 Se6'
_cell_length_a 6.914
_cell_length_b 6.914
_cell_length_c 8.240
_cell_angle_alpha 98.30
_cell_angle_beta 98.30
_cell_angle_gamma 119.65
_space_group_name_H-M_alt 'P 1'
_space_group_IT_number 1
_space_group_name_Hall 'P 1'
loop_
_atom_site_label
_atom_site_type_symbol
_atom_site_fract_x
_atom_site_fract_y
_atom_site_fract_z
Np1 Np 0.667 0.333 0.500
Np2 Np 0.333 0.667 0.500
Se1 Se 0.619 0.932 0.307
Se2 Se 0.068 0.381 0.693
Se3 Se 0.932 0.619 0.307
Se4 Se 0.381 0.068 0.693
Se5 Se 0.242 0.242 0.312
Se6 Se 0.758 0.758 0.688
Ni1 Ni 0.000 0.000 0.500
K1 K 0.170 0.830 0.000
K2 K 0.830 0.170 0.000

=====

# 5
# SmDyNp2S4 PBE relaxed
# * ΔE_f (raw): -1.697 eV per atom
# * crystal system: monoclinic
# * symmetry: P2/m
# * magnetic moment: 8.665 μB/f.u.
# * calculated total energy: -0.2999 hartree per atom
# * V: 172.13 Å³/cell
data_SmDyNp2S4
_chemical_formula_sum 'Sm1 Dy1 Np2 S4'
_cell_length_a 3.934
_cell_length_b 6.833
_cell_length_c 6.791
_cell_angle_alpha 109.47
_cell_angle_beta 90.00
_cell_angle_gamma 90.00
_space_group_name_H-M_alt 'P 1'
_space_group_IT_number 1
_space_group_name_Hall 'P 1'
loop_
_atom_site_label
_atom_site_type_symbol
_atom_site_fract_x
_atom_site_fract_y
_atom_site_fract_z
S1 S 0.500 0.256 0.256
S2 S 0.000 0.747 0.253
S3 S 0.500 0.744 0.744
S4 S 0.000 0.253 0.747
Np1 Np 0.000 0.500 0.500
Np2 Np 0.500 0.000 0.500
Dy1 Dy 0.500 0.500 0.000
Sm1 Sm 0.000 0.000 0.000

=====

# 6
# SmEuTlRh PBE relaxed
# * crystal system: cubic
# * symmetry: F-43m
# * magnetic moment: 6.950 μB/f.u.
# * E_form: -355.0 meV per atom
# * calculated total energy: -0.2401 hartree per atom
# * V: 101.80 Å³/cell
data_SmEuTlRh
_chemical_formula_sum 'Sm1 Eu1 Tl1 Rh1'
_cell_length_a 5.241
_cell_length_b 5.241
_cell_length_c 5.241
_cell_angle_alpha 60.00
_cell_angle_beta 60.00
_cell_angle_gamma 60.00
_space_group_name_H-M_alt 'P 1'
_space_group_IT_number 1
_space_group_name_Hall 'P 1'
loop_
_atom_site_label
_atom_site_type_symbol
_atom_site_fract_x
_atom_site_fract_y
_atom_site_fract_z
Sm1 Sm 0.250 0.250 0.250
Eu1 Eu 0.750 0.750 0.750
Rh1 Rh 0.000 0.000 0.000
Tl1 Tl 0.500 0.500 0.500